# 1
Computed, not measured: SmLuHgGe after structural relaxation at the PBE-GGA level of DFT.

abc: 5.1556 5.1556 5.1556
angles: 60.00 60.00 60.00
Last column: nearest neighbours and their distance in Å.
Sites, in units of the cell vectors:
Sm 0.0000 0.0000 0.0000  4 Ge 3.16, 4 Hg 3.16
Lu 0.5000 0.5000 0.5000  4 Ge 3.16, 4 Hg 3.16
Hg 0.2500 0.2500 0.2500  4 Lu 3.16, 4 Sm 3.16
Ge 0.7500 0.7500 0.7500  4 Lu 3.16, 4 Sm 3.16

Output
For the density of states at the Fermi level, the calculation gives 0.791 states/eV per atom. The energy of formation from the pure elements is -201.8 kJ/mol of formula units.

***

# 2
Computed, not measured: SrLuHgGe after structural relaxation at the PBE-GGA level of DFT.

abc: 5.2946 5.2946 5.2946
angles: 60.00 60.00 60.00
Last column: nearest neighbours and their distance in Å.
Sites, in units of the cell vectors:
Sr 0.0000 0.0000 0.0000  4 Hg 3.24, 4 Ge 3.24
Lu 0.5000 0.5000 0.5000  4 Hg 3.24, 4 Ge 3.24
Hg 0.7500 0.7500 0.7500  4 Lu 3.24, 4 Sr 3.24
Ge 0.2500 0.2500 0.2500  4 Lu 3.24, 4 Sr 3.24

Output
For the density of states at the Fermi level, the calculation gives 0.726 states/eV per atom. The energy of formation from the pure elements is -168.2 kJ/mol of formula units.

***

# 3
Computed, not measured: MgHg2Ge after structural relaxation at the PBE-GGA level of DFT.

abc: 3.4799 3.4799 7.2352
angles: 90.00 90.00 90.00
Last column: nearest neighbours and their distance in Å.
Sites, in units of the cell vectors:
Mg 0.0000 0.0000 0.0000  8 Hg 3.02
Hg 0.5000 0.5000 0.2423  4 Mg 3.02, 4 Ge 3.09
Hg 0.5000 0.5000 0.7577  4 Mg 3.02, 4 Ge 3.09
Ge 0.0000 0.0000 0.5000  8 Hg 3.09

Output
For the density of states at the Fermi level, the calculation gives 0.228 states/eV per atom. The energy of formation from the pure elements is 15.0 kJ/mol of formula units.